Pa6C5F: relaxed, PBE.

Unit cell a=6.222 b=10.780 c=6.218 alpha=90.00 beta=109.51 gamma=90.00
Space group C2/m (No. 12)
Unique sites:
Pa  0.243  0.000  0.258 (multiplicity 4)
Pa  0.245  0.171  0.747 (multiplicity 8)
C  0.000  0.000  0.500 (multiplicity 2)
C  0.000  0.166  0.000 (multiplicity 4)
C  0.000  0.330  0.500 (multiplicity 4)
F  0.000  0.500  0.000 (multiplicity 2)

Properties
* ΔE_f (raw): -786 meV/atom